# 1
Here is a geometry-optimized CrCuTe2 structure from the Alexandria database. Energies are from PBE.

Output
Its distance to the lowest polymorph of the same formula is 0.274 eV/atom. Its calculated total energy is -4.748 eV/atom.

```
data_CrCuTe2
_chemical_formula_sum 'Cr1 Cu1 Te2'
_space_group_name_H-M_alt 'P 1'
_space_group_IT_number 1
_cell_length_a 3.238
_cell_length_b 3.824
_cell_length_c 7.277
_cell_angle_alpha 90.00
_cell_angle_beta 94.03
_cell_angle_gamma 90.00
loop_
_space_group_symop_operation_xyz
'x,y,z'
loop_
_atom_site_label
_atom_site_fract_x
_atom_site_fract_y
_atom_site_fract_z
_atom_site_occupancy
Cr1 0.000 0.000 0.000 1
Cu1 0.000 0.000 0.500 1
Te1 0.251 0.500 0.752 1
Te2 0.749 0.500 0.248 1
```

***

# 2
Here is a geometry-optimized CrCuTe structure from the Alexandria database. Energies are from PBE.

Output
Its distance to the lowest polymorph of the same formula is 0.191 eV/atom. Its calculated total energy is -5.304 eV/atom.

```
data_CrCuTe
_chemical_formula_sum 'Cr1 Cu1 Te1'
_space_group_name_H-M_alt 'P 1'
_space_group_IT_number 1
_cell_length_a 4.831
_cell_length_b 4.831
_cell_length_c 4.831
_cell_angle_alpha 135.90
_cell_angle_beta 135.90
_cell_angle_gamma 64.14
loop_
_space_group_symop_operation_xyz
'x,y,z'
loop_
_atom_site_label
_atom_site_fract_x
_atom_site_fract_y
_atom_site_fract_z
_atom_site_occupancy
Cr1 0.000 0.000 0.000 1
Cu1 0.668 0.668 0.000 1
Te1 0.344 0.344 0.000 1
```

***

# 3
Here is a geometry-optimized CrCuTe2 structure from the Alexandria database. Energies are from PBE.

Output
Its distance to the lowest polymorph of the same formula is 0.344 eV/atom. Its calculated total energy is -4.678 eV/atom.

```
data_CrCuTe2
_chemical_formula_sum 'Cr1 Cu1 Te2'
_space_group_name_H-M_alt 'P 1'
_space_group_IT_number 1
_cell_length_a 4.821
_cell_length_b 4.821
_cell_length_c 3.589
_cell_angle_alpha 90.00
_cell_angle_beta 90.00
_cell_angle_gamma 95.31
loop_
_space_group_symop_operation_xyz
'x,y,z'
loop_
_atom_site_label
_atom_site_fract_x
_atom_site_fract_y
_atom_site_fract_z
_atom_site_occupancy
Cr1 0.000 0.000 0.000 1
Cu1 0.500 0.500 0.000 1
Te1 0.000 0.500 0.500 1
Te2 0.500 0.000 0.500 1
```

***

# 4
Here is a geometry-optimized CrCuTe2 structure from the Alexandria database. Energies are from PBE.

Output
Its distance to the lowest polymorph of the same formula is 0.339 eV/atom. Its calculated total energy is -4.683 eV/atom.

```
data_CrCuTe2
_chemical_formula_sum 'Cr1 Cu1 Te2'
_space_group_name_H-M_alt 'P 1'
_space_group_IT_number 1
_cell_length_a 3.758
_cell_length_b 3.929
_cell_length_c 6.461
_cell_angle_alpha 90.00
_cell_angle_beta 90.00
_cell_angle_gamma 90.00
loop_
_space_group_symop_operation_xyz
'x,y,z'
loop_
_atom_site_label
_atom_site_fract_x
_atom_site_fract_y
_atom_site_fract_z
_atom_site_occupancy
Cr1 0.000 0.000 0.000 1
Cu1 0.000 0.500 0.500 1
Te1 0.500 0.000 0.500 1
Te2 0.500 0.500 0.000 1
```

***

# 5
Here is a geometry-optimized CrCuTe2 structure from the Alexandria database. Energies are from PBE.

Output
Its distance to the lowest polymorph of the same formula is 0.017 eV/atom. Its calculated total energy is -5.005 eV/atom.

```
data_CrCuTe2
_chemical_formula_sum 'Cr1 Cu1 Te2'
_space_group_name_H-M_alt 'P 1'
_space_group_IT_number 1
_cell_length_a 4.959
_cell_length_b 4.412
_cell_length_c 4.412
_cell_angle_alpha 74.48
_cell_angle_beta 90.00
_cell_angle_gamma 90.00
loop_
_space_group_symop_operation_xyz
'x,y,z'
loop_
_atom_site_label
_atom_site_fract_x
_atom_site_fract_y
_atom_site_fract_z
_atom_site_occupancy
Cr1 0.000 0.000 0.000 1
Cu1 0.500 0.216 0.216 1
Te1 0.000 0.383 0.383 1
Te2 0.500 0.838 0.838 1
```

***

# 6
Here is a geometry-optimized CrCuTe structure from the Alexandria database. Energies are from PBE.

Output
Its distance to the lowest polymorph of the same formula is 0.107 eV/atom. Its calculated total energy is -5.389 eV/atom.

```
data_CrCuTe
_chemical_formula_sum 'Cr1 Cu1 Te1'
_space_group_name_H-M_alt 'P 1'
_space_group_IT_number 1
_cell_length_a 4.383
_cell_length_b 4.383
_cell_length_c 4.383
_cell_angle_alpha 60.00
_cell_angle_beta 60.00
_cell_angle_gamma 60.00
loop_
_space_group_symop_operation_xyz
'x,y,z'
loop_
_atom_site_label
_atom_site_fract_x
_atom_site_fract_y
_atom_site_fract_z
_atom_site_occupancy
Cr1 0.000 0.000 0.000 1
Cu1 0.750 0.750 0.750 1
Te1 0.250 0.250 0.250 1
```

***

no.,calculated volume (Å³/cell)
1,89.9
2,53.9
3,83.1
4,95.4
5,93.0
6,59.6